No. 1
# Rb2LiSF6 | Alexandria via LeMat-Bulk | PBE | optimized geometry
# **Energy relative to the elements, uncorrected**: -2005 kJ/mol of formula units
data_Rb2LiSF6
_chemical_formula_sum 'Rb4 Li2 S2 F12'
_symmetry_space_group_name_H-M 'I 4/m m m'
_symmetry_Int_Tables_number 139
_symmetry_space_group_name_Hall '-I 4 2'
_cell_length_a 6.067
_cell_length_b 6.067
_cell_length_c 8.286
_cell_angle_alpha 90.00
_cell_angle_beta 90.00
_cell_angle_gamma 90.00
loop_
_atom_site_label
_atom_site_type_symbol
_atom_site_fract_x
_atom_site_fract_y
_atom_site_fract_z
Rb1 Rb 0.000 0.500 0.250
Li1 Li 0.000 0.000 0.000
S1 S 0.000 0.000 0.500
F1 F 0.000 0.000 0.281
F2 F 0.241 0.241 0.000


No. 2
# RbLiSbF6 | Alexandria via LeMat-Bulk | PBE | optimized geometry
# **Energy relative to the elements, uncorrected**: -2237 kJ/mol of formula units
data_RbLiSbF6
_chemical_formula_sum 'Rb1 Li1 Sb1 F6'
_symmetry_space_group_name_H-M 'P 3 1 2'
_symmetry_Int_Tables_number 149
_cell_length_a 5.5547
_cell_length_b 5.5547
_cell_length_c 6.1229
_cell_angle_alpha 90.00
_cell_angle_beta 90.00
_cell_angle_gamma 120.00
loop_
_symmetry_equiv_pos_as_xyz
'x,y,z'
'-y,x-y,z'
'-x+y,-x,z'
'-y,-x,-z'
'-x+y,y,-z'
'x,x-y,-z'
loop_
_atom_site_label
_atom_site_type_symbol
_atom_site_fract_x
_atom_site_fract_y
_atom_site_fract_z
Rb1 Rb 0.0000 0.0000 0.0000
Li1 Li 0.6667 0.3333 0.5000
Sb1 Sb 0.3333 0.6667 0.5000
F1 F 0.0052 0.3853 0.6885


No. 3
# RbLi2SbF8 | Alexandria via LeMat-Bulk | PBE | optimized geometry
# **Energy relative to the elements, uncorrected**: -2924 kJ/mol of formula units
data_RbLi2SbF8
_chemical_formula_sum 'Rb3 Li6 Sb3 F24'
_symmetry_space_group_name_H-M 'R -3'
_symmetry_Int_Tables_number 148
_symmetry_space_group_name_Hall '-R 3'
_cell_length_a 5.1765
_cell_length_b 5.1765
_cell_length_c 22.6192
_cell_angle_alpha 90.00
_cell_angle_beta 90.00
_cell_angle_gamma 120.00
loop_
_atom_site_label
_atom_site_type_symbol
_atom_site_fract_x
_atom_site_fract_y
_atom_site_fract_z
Rb1 Rb 0.0000 0.0000 0.0000
Li1 Li 0.0000 0.0000 0.2636
Sb1 Sb 0.0000 0.0000 0.5000
F1 F 0.0000 0.0000 0.3402
F2 F 0.0139 0.3755 0.1186


No. 4
# RbLiSb2F | Alexandria via LeMat-Bulk | PBE | optimized geometry
# **Energy relative to the elements, uncorrected**: -248 kJ/mol of formula units
data_RbLiSb2F
_chemical_formula_sum 'Rb1 Li1 Sb2 F1'
_symmetry_space_group_name_H-M 'P 4/m m m'
_symmetry_Int_Tables_number 123
_symmetry_space_group_name_Hall '-P 4 2'
_cell_length_a 5.175
_cell_length_b 5.175
_cell_length_c 4.986
_cell_angle_alpha 90.00
_cell_angle_beta 90.00
_cell_angle_gamma 90.00
loop_
_atom_site_label
_atom_site_type_symbol
_atom_site_fract_x
_atom_site_fract_y
_atom_site_fract_z
Rb1 Rb 0.000 0.000 0.000
Li1 Li 0.500 0.500 0.000
Sb1 Sb 0.000 0.500 0.500
F1 F 0.500 0.500 0.500


No. 5
# RbLiScF5 | Alexandria via LeMat-Bulk | PBE | optimized geometry
# **Energy relative to the elements, uncorrected**: -2666 kJ/mol of formula units
data_RbLiScF5
_chemical_formula_sum 'Rb4 Li4 Sc4 F20'
_symmetry_space_group_name_H-M 'C 1 2/c 1'
_symmetry_Int_Tables_number 15
_cell_length_a 7.337
_cell_length_b 9.895
_cell_length_c 7.924
_cell_angle_alpha 90.00
_cell_angle_beta 113.78
_cell_angle_gamma 90.00
loop_
_symmetry_equiv_pos_as_xyz
'x,y,z'
'-x,-y,-z'
'-x,y,-z+1/2'
'x,-y,z+1/2'
'x+1/2,y+1/2,z'
'-x+1/2,-y+1/2,-z'
'-x+1/2,y+1/2,-z+1/2'
'x+1/2,-y+1/2,z+1/2'
loop_
_atom_site_label
_atom_site_type_symbol
_atom_site_fract_x
_atom_site_fract_y
_atom_site_fract_z
Rb1 Rb 0.000 0.165 0.250
Li1 Li 0.000 0.189 0.750
Sc1 Sc 0.000 0.500 0.000
F1 F 0.000 0.445 0.250
F2 F 0.083 0.309 0.598
F3 F 0.213 0.066 0.903


No. 6
# Rb3Li2ScF9 | Alexandria via LeMat-Bulk | PBE | optimized geometry
# **Energy relative to the elements, uncorrected**: -4291 kJ/mol of formula units
data_Rb3Li2ScF9
_chemical_formula_sum 'Rb3 Li2 Sc1 F9'
_symmetry_space_group_name_H-M 'P -3 m 1'
_symmetry_Int_Tables_number 164
_symmetry_space_group_name_Hall '-P 3 2"'
_cell_length_a 5.8992
_cell_length_b 5.8992
_cell_length_c 7.4347
_cell_angle_alpha 90.00
_cell_angle_beta 90.00
_cell_angle_gamma 120.00
loop_
_atom_site_label
_atom_site_type_symbol
_atom_site_fract_x
_atom_site_fract_y
_atom_site_fract_z
Rb1 Rb 0.0000 0.0000 0.0000
Rb2 Rb 0.3333 0.6667 0.6808
Li1 Li 0.3333 0.6667 0.1874
Sc1 Sc 0.0000 0.0000 0.5000
F1 F 0.0000 0.5000 0.0000
F2 F 0.1629 0.3258 0.3409


No. 7
# Rb2LiSeF6 | Alexandria via LeMat-Bulk | PBE | optimized geometry
# **Energy above the lowest structure with this stoichiometry**: 35.3 meV/atom
# **Energy relative to the elements, uncorrected**: -2119 kJ/mol of formula units
data_Rb2LiSeF6
_chemical_formula_sum 'Rb4 Li2 Se2 F12'
_symmetry_space_group_name_H-M 'I 4/m m m'
_symmetry_Int_Tables_number 139
_symmetry_space_group_name_Hall '-I 4 2'
_cell_length_a 6.138
_cell_length_b 6.138
_cell_length_c 8.406
_cell_angle_alpha 90.00
_cell_angle_beta 90.00
_cell_angle_gamma 90.00
loop_
_atom_site_label
_atom_site_type_symbol
_atom_site_fract_x
_atom_site_fract_y
_atom_site_fract_z
Rb1 Rb 0.000 0.500 0.250
Li1 Li 0.000 0.000 0.000
Se1 Se 0.000 0.000 0.500
F1 F 0.000 0.000 0.267
F2 F 0.240 0.240 0.000


No. 8
# Rb2LiSeF6 | Alexandria via LeMat-Bulk | PBE | optimized geometry
# **Energy above the lowest structure with this stoichiometry**: 0.0 meV/atom
# **Energy relative to the elements, uncorrected**: -2153 kJ/mol of formula units
data_Rb2LiSeF6
_chemical_formula_sum 'Rb12 Li6 Se6 F36'
_symmetry_space_group_name_H-M 'R -3 m'
_symmetry_Int_Tables_number 166
_symmetry_space_group_name_Hall '-R 3 2"'
_cell_length_a 6.0579
_cell_length_b 6.0579
_cell_length_c 32.0412
_cell_angle_alpha 90.00
_cell_angle_beta 90.00
_cell_angle_gamma 120.00
loop_
_atom_site_label
_atom_site_type_symbol
_atom_site_fract_x
_atom_site_fract_y
_atom_site_fract_z
Rb1 Rb 0.0000 0.0000 0.1298
Rb2 Rb 0.0000 0.0000 0.2807
Li1 Li 0.0000 0.0000 0.4124
Se1 Se 0.0000 0.0000 0.0000
Se2 Se 0.0000 0.0000 0.5000
F1 F 0.0243 0.5122 0.7016
F2 F 0.0335 0.5167 0.1141


No. 9
# RbLiSiF6 | Alexandria via LeMat-Bulk | PBE | optimized geometry
# **Energy relative to the elements, uncorrected**: -2724 kJ/mol of formula units
data_RbLiSiF6
_chemical_formula_sum 'Rb1 Li1 Si1 F6'
_symmetry_space_group_name_H-M 'P 3 1 2'
_symmetry_Int_Tables_number 149
_cell_length_a 5.1434
_cell_length_b 5.1434
_cell_length_c 6.0014
_cell_angle_alpha 90.00
_cell_angle_beta 90.00
_cell_angle_gamma 120.00
loop_
_symmetry_equiv_pos_as_xyz
'x,y,z'
'-y,x-y,z'
'-x+y,-x,z'
'-y,-x,-z'
'-x+y,y,-z'
'x,x-y,-z'
loop_
_atom_site_label
_atom_site_type_symbol
_atom_site_fract_x
_atom_site_fract_y
_atom_site_fract_z
Rb1 Rb 0.0000 0.0000 0.0000
Li1 Li 0.3333 0.6667 0.5000
Si1 Si 0.6667 0.3333 0.5000
F1 F 0.4029 0.0504 0.6650


No. 10
# RbLi2SnF8 | Alexandria via LeMat-Bulk | PBE | optimized geometry
# **Energy relative to the elements, uncorrected**: -2920 kJ/mol of formula units
data_RbLi2SnF8
_chemical_formula_sum 'Rb1 Li2 Sn1 F8'
_symmetry_space_group_name_H-M 'P -1'
_symmetry_Int_Tables_number 2
_cell_length_a 4.797
_cell_length_b 4.815
_cell_length_c 8.019
_cell_angle_alpha 91.32
_cell_angle_beta 93.66
_cell_angle_gamma 91.21
loop_
_symmetry_equiv_pos_as_xyz
'x,y,z'
'-x,-y,-z'
loop_
_atom_site_label
_atom_site_type_symbol
_atom_site_fract_x
_atom_site_fract_y
_atom_site_fract_z
Rb1 Rb 0.000 0.000 0.000
Li1 Li 0.478 0.506 0.315
Sn1 Sn 0.000 0.000 0.500
F1 F 0.200 0.190 0.323
F2 F 0.224 0.201 0.687
F3 F 0.285 0.697 0.503
F4 F 0.348 0.530 0.076


No. 11
# Rb2SrLiF6 | Alexandria via LeMat-Bulk | PBE | optimized geometry
# **Energy relative to the elements, uncorrected**: -2684 kJ/mol of formula units
data_Rb2SrLiF6
_chemical_formula_sum 'Rb8 Sr4 Li4 F24'
_symmetry_space_group_name_H-M 'F m -3 m'
_symmetry_Int_Tables_number 225
_symmetry_space_group_name_Hall '-F 4 2 3'
_cell_length_a 8.908
_cell_length_b 8.908
_cell_length_c 8.908
_cell_angle_alpha 90.00
_cell_angle_beta 90.00
_cell_angle_gamma 90.00
loop_
_atom_site_label
_atom_site_type_symbol
_atom_site_fract_x
_atom_site_fract_y
_atom_site_fract_z
Rb1 Rb 0.250 0.250 0.250
Sr1 Sr 0.000 0.000 0.000
Li1 Li 0.000 0.000 0.500
F1 F 0.000 0.000 0.268


No. 12
# Rb2SrLiF6 | Alexandria via LeMat-Bulk | PBE | optimized geometry
# **Energy relative to the elements, uncorrected**: -2685 kJ/mol of formula units
data_Rb2SrLiF6
_chemical_formula_sum 'Rb4 Sr2 Li2 F12'
_symmetry_space_group_name_H-M 'P 1 21/c 1'
_symmetry_Int_Tables_number 14
_cell_length_a 6.332
_cell_length_b 6.262
_cell_length_c 10.920
_cell_angle_alpha 90.00
_cell_angle_beta 125.29
_cell_angle_gamma 90.00
loop_
_symmetry_equiv_pos_as_xyz
'x,y,z'
'-x,-y,-z'
'-x,y+1/2,-z+1/2'
'x,-y+1/2,z+1/2'
loop_
_atom_site_label
_atom_site_type_symbol
_atom_site_fract_x
_atom_site_fract_y
_atom_site_fract_z
Rb1 Rb 0.248 0.006 0.249
Sr1 Sr 0.500 0.000 0.000
Li1 Li 0.000 0.000 0.500
F1 F 0.202 0.248 0.485
F2 F 0.232 0.717 0.985
F3 F 0.263 0.001 0.733


No. 13
# RbSrLiF4 | Alexandria via LeMat-Bulk | PBE | optimized geometry
# **Energy relative to the elements, uncorrected**: -2193 kJ/mol of formula units
data_RbSrLiF4
_chemical_formula_sum 'Rb2 Sr2 Li2 F8'
_symmetry_space_group_name_H-M 'P 1 21/m 1'
_symmetry_Int_Tables_number 11
_cell_length_a 5.923
_cell_length_b 5.677
_cell_length_c 7.674
_cell_angle_alpha 90.00
_cell_angle_beta 107.91
_cell_angle_gamma 90.00
loop_
_symmetry_equiv_pos_as_xyz
'x,y,z'
'-x,-y,-z'
'-x,y+1/2,-z'
'x,-y+1/2,z'
loop_
_atom_site_label
_atom_site_type_symbol
_atom_site_fract_x
_atom_site_fract_y
_atom_site_fract_z
Rb1 Rb 0.210 0.250 0.430
Sr1 Sr 0.272 0.250 0.946
Li1 Li 0.270 0.750 0.189
F1 F 0.068 0.750 0.330
F2 F 0.075 0.750 0.943
F3 F 0.485 0.508 0.204


No. 14
# RbLiTaF6 | Alexandria via LeMat-Bulk | PBE | optimized geometry
# **Energy relative to the elements, uncorrected**: -2609 kJ/mol of formula units
data_RbLiTaF6
_chemical_formula_sum 'Rb2 Li2 Ta2 F12'
_symmetry_space_group_name_H-M 'P -3 1 c'
_symmetry_Int_Tables_number 163
_symmetry_space_group_name_Hall '-P 3 2c'
_cell_length_a 5.5739
_cell_length_b 5.5739
_cell_length_c 11.8678
_cell_angle_alpha 90.00
_cell_angle_beta 90.00
_cell_angle_gamma 120.00
loop_
_atom_site_label
_atom_site_type_symbol
_atom_site_fract_x
_atom_site_fract_y
_atom_site_fract_z
Rb1 Rb 0.0000 0.0000 0.0000
Li1 Li 0.3333 0.6667 0.2500
Ta1 Ta 0.3333 0.6667 0.7500
F1 F 0.0091 0.3768 0.6628


No. 15
# Rb2Li3TcF12 | Alexandria via LeMat-Bulk | PBE | optimized geometry
# **Energy relative to the elements, uncorrected**: -3900 kJ/mol of formula units
data_Rb2Li3TcF12
_chemical_formula_sum 'Rb6 Li9 Tc3 F36'
_symmetry_space_group_name_H-M 'R -3 m'
_symmetry_Int_Tables_number 166
_symmetry_space_group_name_Hall '-R 3 2"'
_cell_length_a 7.0977
_cell_length_b 7.0977
_cell_length_c 19.9571
_cell_angle_alpha 90.00
_cell_angle_beta 90.00
_cell_angle_gamma 120.00
loop_
_atom_site_label
_atom_site_type_symbol
_atom_site_fract_x
_atom_site_fract_y
_atom_site_fract_z
Rb1 Rb 0.0000 0.0000 0.0918
Li1 Li 0.0000 0.5000 0.0000
Tc1 Tc 0.0000 0.0000 0.5000
F1 F 0.0701 0.5350 0.3565
F2 F 0.0786 0.5393 0.1136


No. 16
# Rb2LiTcF6 | Alexandria via LeMat-Bulk | PBE | optimized geometry
# **Energy above the lowest structure with this stoichiometry**: 5.6 meV/atom
# **Energy relative to the elements, uncorrected**: -2390 kJ/mol of formula units
data_Rb2LiTcF6
_chemical_formula_sum 'Rb4 Li2 Tc2 F12'
_symmetry_space_group_name_H-M 'I 4/m m m'
_symmetry_Int_Tables_number 139
_symmetry_space_group_name_Hall '-I 4 2'
_cell_length_a 5.947
_cell_length_b 5.947
_cell_length_c 8.473
_cell_angle_alpha 90.00
_cell_angle_beta 90.00
_cell_angle_gamma 90.00
loop_
_atom_site_label
_atom_site_type_symbol
_atom_site_fract_x
_atom_site_fract_y
_atom_site_fract_z
Rb1 Rb 0.000 0.500 0.250
Li1 Li 0.000 0.000 0.000
Tc1 Tc 0.000 0.000 0.500
F1 F 0.000 0.000 0.254
F2 F 0.243 0.243 0.500


No. 17
# Rb2LiTcF6 | Alexandria via LeMat-Bulk | PBE | optimized geometry
# **Energy above the lowest structure with this stoichiometry**: 0.0 meV/atom
# **Energy relative to the elements, uncorrected**: -2396 kJ/mol of formula units
data_Rb2LiTcF6
_chemical_formula_sum 'Rb12 Li6 Tc6 F36'
_symmetry_space_group_name_H-M 'R -3 m'
_symmetry_Int_Tables_number 166
_symmetry_space_group_name_Hall '-R 3 2"'
_cell_length_a 6.0770
_cell_length_b 6.0770
_cell_length_c 29.3048
_cell_angle_alpha 90.00
_cell_angle_beta 90.00
_cell_angle_gamma 120.00
loop_
_atom_site_label
_atom_site_type_symbol
_atom_site_fract_x
_atom_site_fract_y
_atom_site_fract_z
Rb1 Rb 0.0000 0.0000 0.1258
Rb2 Rb 0.0000 0.0000 0.2844
Li1 Li 0.0000 0.0000 0.4038
Tc1 Tc 0.0000 0.0000 0.0000
Tc2 Tc 0.0000 0.0000 0.5000
F1 F 0.0042 0.5021 0.7048
F2 F 0.0276 0.5138 0.1239


No. 18
# Rb2LiTeF6 | Alexandria via LeMat-Bulk | PBE | optimized geometry
# **Energy relative to the elements, uncorrected**: -2240 kJ/mol of formula units
data_Rb2LiTeF6
_chemical_formula_sum 'Rb4 Li2 Te2 F12'
_symmetry_space_group_name_H-M 'I 4/m m m'
_symmetry_Int_Tables_number 139
_symmetry_space_group_name_Hall '-I 4 2'
_cell_length_a 6.293
_cell_length_b 6.293
_cell_length_c 8.573
_cell_angle_alpha 90.00
_cell_angle_beta 90.00
_cell_angle_gamma 90.00
loop_
_atom_site_label
_atom_site_type_symbol
_atom_site_fract_x
_atom_site_fract_y
_atom_site_fract_z
Rb1 Rb 0.000 0.500 0.250
Li1 Li 0.000 0.000 0.000
Te1 Te 0.000 0.000 0.500
F1 F 0.000 0.000 0.254
F2 F 0.237 0.237 0.000


No. 19
# Rb2LiTeF | Alexandria via LeMat-Bulk | PBE | optimized geometry
# **Energy relative to the elements, uncorrected**: -728 kJ/mol of formula units
data_Rb2LiTeF
_chemical_formula_sum 'Rb2 Li1 Te1 F1'
_symmetry_space_group_name_H-M 'P 4/m m m'
_symmetry_Int_Tables_number 123
_symmetry_space_group_name_Hall '-P 4 2'
_cell_length_a 5.621
_cell_length_b 5.621
_cell_length_c 4.703
_cell_angle_alpha 90.00
_cell_angle_beta 90.00
_cell_angle_gamma 90.00
loop_
_atom_site_label
_atom_site_type_symbol
_atom_site_fract_x
_atom_site_fract_y
_atom_site_fract_z
Rb1 Rb 0.000 0.500 0.000
Li1 Li 0.000 0.000 0.500
Te1 Te 0.500 0.500 0.500
F1 F 0.000 0.000 0.000


Record order is preserved below.
Calculated total energy: -4.00; -4.60; -4.52; -3.11; -5.77; -4.96; -4.05; -4.09; -5.31; -4.50; -4.46; -4.46; -4.97; -5.89; -4.50; -5.02; -5.03; -4.14; -3.28 eV per atom